1.
Here is a relaxed structure of Mg2Bi2P from Alexandria. Energies are from GGA-PBE.

Computed properties:
ΔE_f ... 0.019 eV/atom
DOS at the Fermi energy ... 0.491 states/eV/atom
DFT total energy ... -32.535 eV per cell

Cell: 6.9239 6.9239 5.2712 Å, 90.00 90.00 90.00°
Fractional positions:
Bi  0.8378  0.3378  0.5000
Bi  0.1622  0.6622  0.5000
Bi  0.6622  0.8378  0.5000
Bi  0.3378  0.1622  0.5000
Mg  0.8379  0.6621  0.0000
Mg  0.1621  0.3379  0.0000
Mg  0.6621  0.1621  0.0000
Mg  0.3379  0.8379  0.0000
P  0.5000  0.5000  0.0000
P  0.0000  0.0000  0.0000

=====

2.
Here is a relaxed structure of CaCr3Si from Alexandria. Energies are from GGA-PBE.

Computed properties:
DOS at the Fermi energy ... 2.202 states/eV/atom
DFT total energy ... -23.405 eV per cell
Relative energy among the computed polymorphs ... 1863 meV/atom
Raw formation energy ... 2.578 eV/atom

Cell: 4.2977 4.2977 4.2977 Å, 90.00 90.00 90.00°
Fractional positions:
Si  0.5000  0.5000  0.5000
Ca  0.0000  0.0000  0.0000
Cr  0.0000  0.0000  0.5000
Cr  0.5000  0.0000  0.0000
Cr  0.0000  0.5000  0.0000

=====

3.
Here is a relaxed structure of Ti4ZnO8 from Alexandria. Energies are from GGA-PBE.

Computed properties:
DOS at the Fermi energy ... 0.361 states/eV/atom
DFT total energy ... -106.247 eV per cell
Relative energy among the computed polymorphs ... 85 meV/atom
Raw formation energy ... -2.594 eV/atom

Cell: 6.1234 6.1234 6.1234 Å, 58.15 58.15 58.15°
Fractional positions:
O  0.2687  0.2687  0.2687
O  0.2444  0.7265  0.2444
O  0.7556  0.2735  0.7556
O  0.2444  0.2444  0.7265
O  0.7265  0.2444  0.2444
O  0.7313  0.7313  0.7313
O  0.2735  0.7556  0.7556
O  0.7556  0.7556  0.2735
Ti  0.0000  0.5000  0.5000
Ti  0.5000  0.0000  0.5000
Ti  0.0000  0.0000  0.0000
Ti  0.5000  0.5000  0.0000
Zn  0.5000  0.5000  0.5000

=====

4.
Here is a relaxed structure of Li4ZrPa3N8 from Alexandria. Energies are from GGA-PBE.

Computed properties:
DOS at the Fermi energy ... 0.462 states/eV/atom
DFT total energy ... -130.242 eV per cell
Raw formation energy ... -1.184 eV/atom

Cell: 6.9513 6.4510 6.9534 Å, 122.56 119.99 90.00°
Fractional positions:
Pa  0.5000  0.5000  0.0000
Pa  0.5000  0.5000  0.5000
Pa  0.0000  0.5000  0.5000
N  0.7377  0.7136  0.4755
N  0.2601  0.2863  0.0234
N  0.2367  0.7137  0.9766
N  0.2367  0.7138  0.4734
N  0.7633  0.2863  0.0234
N  0.2623  0.2864  0.5245
N  0.7633  0.2862  0.5266
N  0.7399  0.7137  0.9766
Zr  0.0000  0.5000  0.0000
Li  0.5000  0.0000  0.0000
Li  0.0000  0.0000  0.5000
Li  0.5000  0.0000  0.5000
Li  0.0000  0.0000  0.0000

=====

5.
Here is a relaxed structure of La3Pm6Dy2Mg from Alexandria. Energies are from GGA-PBE.

Computed properties:
ΔE_f ... 0.031 eV/atom
DOS at the Fermi energy ... 1.395 states/eV/atom
DFT total energy ... -53.713 eV per cell

Cell: 6.2966 6.2966 11.9612 Å, 95.06 95.06 120.07°
Fractional positions:
La  0.1677  0.8323  0.5000
La  0.5000  0.5000  0.5000
La  0.8323  0.1677  0.5000
Pm  0.9204  0.5892  0.7575
Pm  0.7489  0.7489  0.2438
Pm  0.4108  0.0796  0.2425
Pm  0.5892  0.9204  0.7575
Pm  0.0796  0.4108  0.2425
Pm  0.2511  0.2511  0.7562
Mg  0.0000  0.0000  0.0000
Dy  0.6665  0.3335  0.0000
Dy  0.3335  0.6665  0.0000